AlTe2Au after structural relaxation. Source: OQMD via LeMat-Bulk, functional PBE-GGA.

abc: 7.2435 7.2435 7.2435
angles: 90.00 90.00 90.00
Closest atoms and distances in Å follow each position.
Space group F-43m (No. 216)
Symmetry-distinct sites (fractional):
Al 0.0000 0.0000 0.0000 x4  4 Te 3.14, 4 Au 3.14
Te 0.0000 0.0000 0.5000 x4  4 Au 3.14, 4 Te 3.14
Te 0.2500 0.2500 0.7500 x4  4 Te 3.14, 4 Al 3.14
Au 0.2500 0.2500 0.2500 x4  4 Al 3.14, 4 Te 3.14

Summary:
volume: 380.1 Å³ per cell
uncorrected energy: -48.42 eV/cell